The following is a PBE calculation of a relaxed structure of TiBiWN2, from Alexandria.

Calculated values
energy = -28.2 eV for the cell shown
formation energy from raw total energies = 13.15 eV/f.u.

Unit cell a=4.245 b=4.245 c=5.390 alpha=90.00 beta=90.00 gamma=90.00
Space group P4/mmm (No. 123)
Asymmetric unit:
Ti 0.000 0.000 0.000 (multiplicity 1)
Bi 0.000 0.000 0.500 (multiplicity 1)
W 0.500 0.500 0.000 (multiplicity 1)
N 0.000 0.500 0.500 (multiplicity 2)